# NaPrSm2Hg4, optimized geometry, DFT GGA-PBE
data_NaPrSm2Hg4
_chemical_formula_sum 'Na3 Pr3 Sm6 Hg12'
_symmetry_space_group_name_H-M 'R -3 m'
_symmetry_Int_Tables_number 166
_symmetry_space_group_name_Hall '-R 3 2"'
_cell_length_a 5.3046
_cell_length_b 5.3046
_cell_length_c 26.6024
_cell_angle_alpha 90.00
_cell_angle_beta 90.00
_cell_angle_gamma 120.00
loop_
_atom_site_label
_atom_site_type_symbol
_atom_site_fract_x
_atom_site_fract_y
_atom_site_fract_z
Na1 Na 0.0000 0.0000 0.0000
Pr1 Pr 0.0000 0.0000 0.5000
Sm1 Sm 0.0000 0.0000 0.2551
Hg1 Hg 0.0000 0.0000 0.1229
Hg2 Hg 0.0000 0.0000 0.3744
# * DOS at the Fermi energy: 1.010 states/eV/atom
# * E: -20.1 eV/f.u.
# * DFT formation energy: -39.9 kJ per mole of atoms
# * total magnetic moment: 0.001 μB per cell